Entry 1:
This record from Alexandria via LeMat-Bulk describes a geometry-optimized MgGaSi structure. The functional is PBE.

Structure (POSCAR):
```
MgGaSi
1.0
8.375 0.000 0.000
0.000 6.475 0.000
-3.148 0.000 4.089
Mg Ga Si
4 4 4
Cartesian
-0.031 0.000 1.617
1.071 3.237 2.472
4.156 3.237 1.617
5.258 0.000 2.472
-1.463 1.954 3.767
2.502 5.191 0.321
2.725 5.191 3.767
6.690 1.954 0.321
-1.574 4.109 2.044
0.000 4.122 0.000
2.613 0.872 2.044
4.188 0.885 0.000
```

Formation energy from raw total energies: 0.040 eV per atom
Space-group type: C2 (5)



Entry 2:
This record from Alexandria via LeMat-Bulk describes a geometry-optimized NdZnGa2Cu structure. The functional is PBE.

Structure (POSCAR):
```
NdZnGa2Cu
1.0
4.264 0.000 0.000
0.000 4.264 0.000
0.000 0.000 10.292
Nd Zn Ga Cu
2 2 4 2
Cartesian
0.000 0.000 0.000
2.132 2.132 5.146
0.000 2.132 2.573
2.132 0.000 7.719
0.000 0.000 3.897
0.000 0.000 6.396
2.132 2.132 1.250
2.132 2.132 9.043
0.000 2.132 7.719
2.132 0.000 2.573
```

E_form: -45 kJ per mole of atoms
Space-group type: I-4m2 (119)



Entry 3:
This record from Alexandria via LeMat-Bulk describes a geometry-optimized Ce2AlSi3Au4 structure. The functional is PBE.

Structure (POSCAR):
```
Ce2AlSi3Au4
1.0
4.330 0.000 0.000
0.000 4.330 0.000
0.000 0.000 10.452
Ce Al Si Au
2 1 3 4
Cartesian
0.000 2.165 2.560
2.165 0.000 7.892
0.000 0.000 5.226
0.000 2.165 9.045
2.165 0.000 1.407
2.165 2.165 5.226
0.000 0.000 0.000
0.000 2.165 6.593
2.165 0.000 3.859
2.165 2.165 0.000
```

Formation energy from raw total energies: -0.600 eV per atom
Space-group type: P-4m2 (115)



Entry 4:
This record from Alexandria via LeMat-Bulk describes a geometry-optimized Ac3AlGa2Pt9 structure. The functional is PBE.

Structure (POSCAR):
```
Ac3AlGa2Pt9
1.0
6.515 0.000 0.000
-3.258 5.642 0.000
0.000 0.000 9.249
Ac Al Ga Pt
3 1 2 9
Cartesian
0.000 0.000 0.000
0.000 3.761 6.426
3.258 1.881 2.823
0.000 0.000 4.625
0.000 3.761 1.681
3.258 1.881 7.568
-1.629 2.821 0.000
0.000 1.588 2.717
-1.882 4.848 2.717
1.376 0.794 6.532
3.258 0.000 0.000
1.629 2.821 0.000
1.882 4.848 2.717
5.140 0.794 6.532
3.258 4.054 6.532
```

E_form: -71 kJ per mole of atoms
Space-group type: P-3m1 (164)



Entry 5:
This record from Alexandria via LeMat-Bulk describes a geometry-optimized Na2PaNi3H12 structure. The functional is PBE.

Structure (POSCAR):
```
Na2PaNi3H12
1.0
3.318 1.916 4.451
-3.318 1.916 4.451
0.000 -3.832 4.451
Na Pa Ni H
2 1 3 12
Cartesian
0.000 0.000 1.596
0.000 0.000 11.757
0.000 0.000 6.677
-1.659 -0.958 4.451
-1.659 0.958 8.902
0.000 1.916 4.451
-1.826 -1.054 6.008
0.000 -1.333 4.727
-1.155 0.667 4.727
0.000 -2.109 7.346
-1.826 1.054 7.346
-1.155 -0.667 8.627
1.155 0.667 4.727
1.826 -1.054 6.008
0.000 2.109 6.008
1.155 -0.667 8.627
0.000 1.333 8.627
1.826 1.054 7.346
```

Electronic total energy: -72.4 eV for the cell shown
Space-group type: R-3m (166)



Entry 6:
This record from Alexandria via LeMat-Bulk describes a geometry-optimized Fe2Cu2Pt structure. The functional is PBE.

Structure (POSCAR):
```
Fe2Cu2Pt
1.0
6.838 0.000 0.000
0.000 6.838 0.000
0.000 0.000 2.769
Fe Cu Pt
4 4 2
Cartesian
1.174 2.246 0.000
2.246 5.665 0.000
4.593 1.174 0.000
5.665 4.593 0.000
0.860 4.279 1.384
2.559 0.860 1.384
4.279 5.979 1.384
5.979 2.559 1.384
0.000 0.000 1.384
3.419 3.419 1.384
```

E_form: 14 kJ per mole of atoms
Energy above the most stable polymorph in this dataset: 0.0 meV/atom
Space-group type: P4/mbm (127)



Entry 7:
This record from Alexandria via LeMat-Bulk describes a geometry-optimized Pr5SmTe5 structure. The functional is PBE.

Structure (POSCAR):
```
Pr5SmTe5
1.0
7.049 -3.166 0.000
7.049 3.166 0.000
-2.875 0.000 8.460
Pr Sm Te
5 1 5
Cartesian
0.000 0.000 0.000
4.182 0.000 1.366
2.806 0.000 5.748
8.418 0.000 2.712
7.041 0.000 7.094
-1.438 0.000 4.230
-0.090 0.000 7.012
1.410 0.000 2.885
5.612 0.000 4.230
9.813 0.000 5.575
11.313 0.000 1.449
```

Formation energy from raw total energies: -1.239 eV per atom
Space-group type: C2/m (12)



Entry 8:
This record from Alexandria via LeMat-Bulk describes a geometry-optimized La3NdSm3 structure. The functional is PBE.

Structure (POSCAR):
```
La3NdSm3
1.0
4.809 2.776 6.359
-4.809 2.776 6.359
0.000 -5.552 6.359
La Nd Sm
6 2 6
Cartesian
-0.683 -3.546 7.835
-3.412 -1.181 11.242
-2.729 2.364 7.835
2.729 -2.365 11.242
3.412 1.181 7.835
0.683 3.546 11.242
0.000 0.000 7.806
0.000 0.000 11.271
-1.368 -1.557 4.951
-0.664 1.964 4.951
2.033 -0.407 4.951
-2.033 0.407 14.126
0.664 -1.964 14.126
1.368 1.557 14.126
```

E_form: 12 kJ per mole of atoms
Energy above the most stable polymorph in this dataset: 85.1 meV/atom
Space-group type: R-3 (148)



Entry 9:
This record from Alexandria via LeMat-Bulk describes a geometry-optimized CsRbB2Cl8 structure. The functional is PBE.

Structure (POSCAR):
```
CsRbB2Cl8
1.0
6.427 0.000 0.000
-3.213 5.566 0.000
0.000 0.000 10.676
Cs Rb B Cl
1 1 2 8
Cartesian
0.000 0.000 0.000
0.000 0.000 5.338
0.000 3.711 8.185
3.213 1.855 2.491
-1.068 2.305 7.583
0.000 3.711 10.054
-0.683 5.338 7.583
1.463 2.078 3.094
1.751 3.488 7.583
3.896 0.228 3.094
3.213 1.855 0.622
4.281 3.260 3.094
```

Formation energy from raw total energies: -1.352 eV per atom
Space-group type: P-3 (147)



Entry 10:
This record from Alexandria via LeMat-Bulk describes a geometry-optimized CeNdPu2Sb4 structure. The functional is PBE.

Structure (POSCAR):
```
CeNdPu2Sb4
1.0
7.738 0.000 0.000
0.000 4.482 0.000
-2.587 0.000 7.308
Ce Nd Pu Sb
1 1 2 4
Cartesian
0.000 0.000 0.000
-1.294 2.241 3.654
2.576 0.000 3.654
3.869 2.241 0.000
1.323 2.241 1.823
0.032 0.000 5.513
5.120 0.000 1.795
3.828 2.241 5.485
```

Formation energy from raw total energies: -0.856 eV per atom
Space-group type: P2/m (10)



Entry 11:
This record from Alexandria via LeMat-Bulk describes a geometry-optimized ZrHPd2Rh structure. The functional is PBE.

Structure (POSCAR):
```
ZrHPd2Rh
1.0
3.913 0.000 0.000
0.000 3.913 0.000
0.000 0.000 4.399
Zr H Pd Rh
1 1 2 1
Cartesian
0.000 0.000 0.000
0.000 0.000 2.200
0.000 1.956 2.200
1.956 0.000 2.200
1.956 1.956 0.000
```

Energy above the most stable polymorph in this dataset: 70.4 meV/atom
Space-group type: P4/mmm (123)



Entry 12:
This record from Alexandria via LeMat-Bulk describes a geometry-optimized DyTmTlRh structure. The functional is PBE.

Structure (POSCAR):
```
DyTmTlRh
1.0
3.510 0.000 0.000
0.000 3.510 0.000
0.000 0.000 7.573
Dy Tm Tl Rh
1 1 1 1
Cartesian
0.000 0.000 0.000
0.000 0.000 4.319
1.755 1.755 2.187
1.755 1.755 5.890
```

E_form: -61 kJ per mole of atoms
Energy above the most stable polymorph in this dataset: 0.0 meV/atom
Space-group type: P4mm (99)



Entry 13:
This record from Alexandria via LeMat-Bulk describes a geometry-optimized GdTm3N structure. The functional is PBE.

Structure (POSCAR):
```
GdTm3N
1.0
4.892 0.000 0.000
0.000 4.892 0.000
0.000 0.000 4.892
Gd Tm N
1 3 1
Cartesian
0.000 0.000 0.000
0.000 2.446 2.446
2.446 0.000 2.446
2.446 2.446 0.000
2.446 2.446 2.446
```

Formation energy from raw total energies: -0.531 eV per atom
Space-group type: Pm-3m (221)



no.,D(E_F) (states/eV/cell),calculated density (g cm⁻³)
1,4.1,3.658
2,4.8,7.323
3,12.6,9.992
4,7.1,12.714
5,6.7,4.550
6,10.1,11.129
7,7.3,6.565
8,19.0,6.599
9,0.0,2.277
10,32.7,8.251
11,1.3,10.058
12,1.7,11.366
13,5.3,9.616